1.
ScCdSi3 | PBE | relaxed

Cell and atoms, written as POSCAR:
```
ScCdSi3
1.0
5.0672 0.0000 0.0000
0.0000 5.0672 0.0000
0.0000 0.0000 5.0672
Si Sc Cd
3 1 1
direct
0.5000 0.0000 0.0000
0.0000 0.0000 0.5000
0.0000 0.5000 0.0000
0.0000 0.0000 0.0000
0.5000 0.5000 0.5000
```

Values from the calculation:
DOS(E_F) = 1.117 states/eV per atom
polymorph energy (0 for the lowest one) = 0.000 eV per atom
raw formation energy = 851 meV per atom
space group = Pm-3m, No. 221

=====

2.
ScCdSi2 | PBE | relaxed

Cell and atoms, written as POSCAR:
```
ScCdSi2
1.0
4.9010 -0.0821 0.0030
-0.8209 4.8325 0.0030
-0.0017 -0.0020 3.1339
Sc Si Cd
1 2 1
direct
0.0000 0.5000 0.5000
0.5000 0.5000 0.0000
0.0000 0.0000 0.0000
0.5000 0.0000 0.5000
```

Values from the calculation:
DOS(E_F) = 0.602 states/eV per atom
raw formation energy = -59 meV per atom
space group = Cmmm, No. 65

=====

3.
ScCdSi | PBE | relaxed

Cell and atoms, written as POSCAR:
```
ScCdSi
1.0
4.6139 0.0000 0.0000
2.3069 3.9957 0.0000
2.3069 1.3319 7.3067
Cd Sc Si
2 2 2
direct
0.1804 0.1804 0.4589
0.8196 0.8196 0.5411
0.4270 0.4270 0.7191
0.5730 0.5730 0.2809
0.3104 0.3104 0.0689
0.6896 0.6896 0.9311
```

Values from the calculation:
DOS(E_F) = 0.373 states/eV per atom
raw formation energy = -41 meV per atom
space group = R-3m, No. 166

=====

4.
Sc2CdSi | PBE | relaxed

Cell and atoms, written as POSCAR:
```
Sc2CdSi
1.0
-3.1678 1.1204 0.3208
-0.2007 -1.6775 3.8775
2.0093 5.0284 2.2794
Sc Cd Si
2 1 1
direct
0.5000 0.5000 0.2834
0.0000 0.0000 0.9845
0.5000 0.5000 0.7706
0.0000 0.0000 0.4615
```

Values from the calculation:
DOS(E_F) = 0.850 states/eV per atom
raw formation energy = -177 meV per atom
space group = Pmm2, No. 25

=====

5.
ScCdSi | PBE | relaxed

Cell and atoms, written as POSCAR:
```
ScCdSi
1.0
-0.3574 -4.3833 0.8458
1.2503 -2.9867 -3.0939
3.6844 -2.4669 0.6291
Cd Sc Si
1 1 1
direct
0.0000 0.0000 0.0000
0.5000 0.5000 0.5000
0.7500 0.7500 0.7500
```

Values from the calculation:
DOS(E_F) = 0.648 states/eV per atom
raw formation energy = -249 meV per atom
space group = F-43m, No. 216

=====

6.
ScCdSi2 | PBE | relaxed

Cell and atoms, written as POSCAR:
```
ScCdSi2
1.0
4.2325 0.0000 0.0000
0.0000 3.0135 -0.0075
0.0000 0.0173 5.8560
Cd Sc Si
1 1 2
direct
0.5000 0.2500 0.2500
0.5000 0.7500 0.7500
0.0000 0.2496 0.9530
0.0000 0.2504 0.5470
```

Values from the calculation:
DOS(E_F) = 0.317 states/eV per atom
raw formation energy = -190 meV per atom
space group = Pmmm, No. 47

=====

7.
Sc2CdSi | PBE | relaxed

Cell and atoms, written as POSCAR:
```
Sc2CdSi
1.0
-2.5518 5.7751 -7.5247
-5.4653 5.1546 -6.3280
-3.6991 7.5369 -5.0987
Sc Cd Si
2 1 1
direct
0.2425 0.2425 0.2425
0.0002 0.0002 0.0002
0.7559 0.7559 0.7559
0.5014 0.5014 0.5014
```

Values from the calculation:
DOS(E_F) = 1.070 states/eV per atom
raw formation energy = 51 meV per atom
space group = R3m, No. 160

=====

8.
ScCdSi2 | PBE | relaxed

Cell and atoms, written as POSCAR:
```
ScCdSi2
1.0
3.0010 0.0084 0.0000
-0.0283 3.0009 0.0000
0.0000 0.0000 8.3211
Sc Si Cd
1 2 1
direct
0.5000 0.5000 0.7500
0.0000 0.0000 0.5200
0.0000 0.0000 0.9800
0.5000 0.5000 0.2500
```

Values from the calculation:
DOS(E_F) = 0.639 states/eV per atom
raw formation energy = 41 meV per atom
space group = Cmmm, No. 65

=====

no.,total magnetization (μB/atom),electronic total energy (Ha/atom)
1,0.000,-0.142
2,0.000,-0.168
3,0.000,-0.157
4,0.000,-0.181
5,0.000,-0.164
6,0.000,-0.173
7,0.096,-0.173
8,0.000,-0.165